Entry 1:
Material: RbPbN2O
Method: DFT, GGA-PBE
State: optimized geometry

Structure (POSCAR):
```
RbPbN2O
1.0
5.2318 0.0000 0.0000
0.0000 5.2318 0.0000
0.0000 0.0000 5.0703
Rb Pb N O
1 1 2 1
Direct
0.0000 0.0000 0.0000
0.5000 0.5000 0.5000
0.0000 0.5000 0.0000
0.5000 0.0000 0.0000
0.0000 0.0000 0.5000
```

## Properties
Magnetic moment: 5.0 Bohr magnetons per cell
VASP energy: -3.31 eV per atom
Formation energy from raw total energies: 1.945 eV/atom

Entry 2:
Material: Pr5Sm3Er4
Method: DFT, GGA-PBE
State: optimized geometry

Structure (POSCAR):
```
Pr5Sm3Er4
1.0
4.9013 -2.9456 0.0000
4.9013 2.9456 0.0000
-4.8592 0.0000 14.3558
Pr Sm Er
5 3 4
Direct
0.0000 0.0000 0.0000
0.3307 0.3307 0.5001
0.4539 0.4539 0.7516
0.5461 0.5461 0.2484
0.6693 0.6693 0.4999
0.2060 0.2060 0.2492
0.5000 0.5000 0.0000
0.7940 0.7940 0.7508
0.0608 0.0608 0.6231
0.1752 0.1752 0.8529
0.8248 0.8248 0.1471
0.9392 0.9392 0.3769
```

## Properties
Energy of formation: 0.219 eV per atom
Magnetic moment: 0.0 Bohr magnetons per cell
VASP energy: -4.47 eV per atom

Entry 3:
Material: RbMgN2O
Method: DFT, GGA-PBE
State: optimized geometry

Structure (POSCAR):
```
RbMgN2O
1.0
4.5135 0.0000 0.0000
0.0000 4.5135 0.0000
0.0000 0.0000 4.7007
Rb Mg N O
1 1 2 1
Direct
0.0000 0.0000 0.0000
0.5000 0.5000 0.5000
0.0000 0.5000 0.0000
0.5000 0.0000 0.0000
0.0000 0.0000 0.5000
```

## Properties
Magnetic moment: 3.0 Bohr magnetons per cell
VASP energy: -2.74 eV per atom
Formation energy from raw total energies: 2.099 eV/atom